SmY6Ni3 | PBE-GGA | optimized geometry

Cell: 11.047 13.101 7.096 Å, 90.00 90.00 90.00°
Space group Cmc2_1 (No. 36)
Asymmetric unit:
Sm 0.000 0.181 0.000
Y 0.000 0.274 0.541
Y 0.000 0.469 0.888
Y 0.168 0.038 0.379
Y 0.226 0.308 0.231
Ni 0.000 0.082 0.671
Ni 0.194 0.394 0.597

Output
The density of states at the Fermi level comes out at 40.46 states/eV per cell. The energy relative to the elements comes out at -0.22 eV/atom. Its magnetization is 0.0 μB per formula unit. The volume comes out at 1027 Å³ per cell.